Entry from Alexandria: a geometry-optimized MgCrAs2O structure (GGA+U).

The uncorrected energy comes out at -4.45 eV/atom.

The structure belongs to space group P4/mmm (No. 123); the cell edges are 4.571, 4.571 and 3.785 Å and the angles 90.00°, 90.00° and 90.00°. The distinct sites, in fractional coordinates, are Mg at (0.000, 0.000, 0.000), Cr at (0.500, 0.500, 0.000), As at (0.000, 0.500, 0.500) and O at (0.000, 0.000, 0.500).